# 1
Density functional theory data (PBE) for a relaxed structure of SbAs2S.

a b c (Å): 4.849 4.849 4.849
angles (deg): 60.00 60.00 60.00
Atoms (fractional coordinates):
1 Sb 0.000 0.000 0.000
2 As 0.250 0.250 0.250
3 As 0.750 0.750 0.750
4 S 0.500 0.500 0.500

## Properties
Its space group is Fm-3m, No. 225. As for the energy above the most stable polymorph in this dataset: 1.09 eV/f.u. The value obtained for the raw total energy is -3.948 eV per atom. The formation energy (no corrections) comes out at 0.439 eV per atom.

# 2
Density functional theory data (PBE) for a relaxed structure of MgSbPd4.

a b c (Å): 5.076 5.076 5.962
angles (deg): 107.63 107.63 43.13
Atoms (fractional coordinates):
1 Mg 0.000 0.000 0.000
2 Sb 0.000 0.000 0.500
3 Pd 0.335 0.335 0.168
4 Pd 0.342 0.342 0.672
5 Pd 0.658 0.658 0.328
6 Pd 0.665 0.665 0.832

## Properties
Its space group is C2/m, No. 12. As for the energy above the most stable polymorph in this dataset: 0.17 eV/f.u. The value obtained for the raw total energy is -4.899 eV per atom. The formation energy (no corrections) comes out at -0.484 eV per atom.

# 3
Density functional theory data (PBE) for a relaxed structure of UIn2Hg.

a b c (Å): 5.224 5.224 5.224
angles (deg): 60.27 60.27 60.27
Atoms (fractional coordinates):
1 U 0.000 0.000 0.000
2 In 0.251 0.251 0.251
3 In 0.749 0.749 0.749
4 Hg 0.500 0.500 0.500

## Properties
Its space group is R-3m, No. 166. As for the energy above the most stable polymorph in this dataset: 0.89 eV/f.u. As for the formation energy: 29.0 kJ per mole of atoms. The value obtained for the raw total energy is -3.966 eV per atom.

# 4
Density functional theory data (PBE) for a relaxed structure of IrPdW3.

a b c (Å): 4.724 4.724 4.724
angles (deg): 90.00 90.00 90.00
Atoms (fractional coordinates):
1 Ir 0.000 0.000 0.000
2 Pd 0.500 0.500 0.500
3 W 0.000 0.000 0.500
4 W 0.000 0.500 0.000
5 W 0.500 0.000 0.000

## Properties
Its space group is Pm-3m, No. 221. As for the energy above the most stable polymorph in this dataset: 0.00 eV/f.u. As for the formation energy: 183.2 kJ per mole of atoms. The value obtained for the raw total energy is -8.684 eV per atom.

# 5
Density functional theory data (PBE) for a relaxed structure of Pr2Sm5Ga4.

a b c (Å): 13.089 13.089 7.219
angles (deg): 91.19 91.19 15.49
Atoms (fractional coordinates):
1 Pr 0.095 0.095 0.199
2 Pr 0.905 0.905 0.801
3 Sm 0.134 0.134 0.689
4 Sm 0.235 0.235 0.274
5 Sm 0.500 0.500 0.500
6 Sm 0.765 0.765 0.726
7 Sm 0.866 0.866 0.311
8 Ga 0.025 0.025 0.848
9 Ga 0.322 0.322 0.007
10 Ga 0.678 0.678 0.993
11 Ga 0.975 0.975 0.152

## Properties
Its space group is C2/m, No. 12. As for the formation energy: -16.0 kJ per mole of atoms. The value obtained for the raw total energy is -4.281 eV per atom.

# 6
Density functional theory data (PBE) for a relaxed structure of Rb2BeHW.

a b c (Å): 6.516 6.516 4.613
angles (deg): 90.00 90.00 90.00
Atoms (fractional coordinates):
1 Rb 0.000 0.500 0.000
2 Rb 0.500 0.000 0.000
3 Be 0.000 0.000 0.000
4 H 0.500 0.500 0.500
5 W 0.000 0.000 0.500

## Properties
Its space group is P4/mmm, No. 123. The value obtained for the raw total energy is -2.867 eV per atom.